First-principles (GGA-PBE) data for a relaxed structure of HfPS, as listed in Alexandria via LeMat-Bulk.

The total moment comes out at 0.000 μB per formula unit. The value obtained for the volume is 16.6 Å³ per atom. The formation energy without anion corrections is -1.0437 eV/atom.

Cell lengths 3.583, 3.583, 8.164 Å; angles 102.68, 102.68, 90.00 degrees
Sites, in units of the cell vectors:
S1 0.810 0.810 0.619
S2 0.190 0.190 0.381
P1 0.500 0.000 0.000
P2 0.000 0.500 0.000
Hf1 0.370 0.370 0.740
Hf2 0.630 0.630 0.260

First-principles (GGA-PBE) data for a relaxed structure of SmErCo, as listed in Alexandria via LeMat-Bulk.

The total moment comes out at 0.000 μB per formula unit. The value obtained for the volume is 24.4 Å³ per atom. As for the relative energy among the computed polymorphs: 0 meV/atom.

Cell lengths 3.679, 6.366, 6.905 Å; angles 96.30, 74.55, 73.21 degrees
Sites, in units of the cell vectors:
Sm1 0.586 0.241 0.588
Sm2 0.414 0.759 0.412
Co1 0.075 0.040 0.811
Co2 0.925 0.960 0.189
Er1 0.689 0.732 0.889
Er2 0.311 0.268 0.111

First-principles (GGA-PBE) data for a relaxed structure of BaMg11Al, as listed in Alexandria via LeMat-Bulk.

The total moment comes out at 0.000 μB per formula unit. The value obtained for the volume is 24.9 Å³ per atom.

Cell lengths 5.964, 7.904, 7.955 Å; angles 82.15, 67.99, 68.63 degrees
Sites, in units of the cell vectors:
Mg1 0.000 0.500 0.000
Mg2 0.996 0.360 0.649
Mg3 0.645 0.360 0.351
Mg4 0.716 0.775 0.782
Mg5 0.355 0.640 0.649
Mg6 0.000 0.000 0.500
Mg7 0.500 0.000 0.500
Mg8 0.284 0.225 0.218
Mg9 0.502 0.225 0.782
Mg10 0.004 0.640 0.351
Mg11 0.498 0.775 0.218
Ba1 0.000 0.000 0.000
Al1 0.500 0.500 0.000

First-principles (GGA-PBE) data for a relaxed structure of LiRe2Br4, as listed in Alexandria via LeMat-Bulk.

The total moment comes out at 2.520 μB per formula unit. The value obtained for the volume is 26.5 Å³ per atom. The formation energy without anion corrections is 0.4489 eV/atom.

Cell lengths 5.395, 5.395, 7.418 Å; angles 68.68, 68.68, 90.00 degrees
Last column: magnetic moment on the atom in μB.
Sites, in units of the cell vectors:
Br1 0.000 0.500 0.000  -0.01
Br2 0.210 0.210 0.580  0.01
Br3 0.500 0.000 0.000  -0.01
Br4 0.790 0.790 0.420  0.01
Re1 0.414 0.414 0.172  -1.00
Re2 0.586 0.586 0.828  -1.00
Li1 0.000 0.000 0.000  0.00

First-principles (GGA-PBE) data for a relaxed structure of SrRuPt3, as listed in Alexandria via LeMat-Bulk.

The total moment comes out at 2.860 μB per formula unit. The value obtained for the volume is 26.7 Å³ per atom. As for the relative energy among the computed polymorphs: 1794 meV/atom.

Cell lengths 5.113, 5.113, 5.113 Å; angles 90.00, 90.00, 90.00 degrees
Last column: magnetic moment on the atom in μB.
Sites, in units of the cell vectors:
Pt1 0.000 0.000 0.500  -0.02
Pt2 0.000 0.500 0.000  0.01
Pt3 0.500 0.000 0.000  0.11
Ru1 0.500 0.500 0.500  2.71
Sr1 0.000 0.000 0.000  -0.03

First-principles (GGA-PBE) data for a relaxed structure of CaBr2O2, as listed in Alexandria via LeMat-Bulk.

The total moment comes out at 0.000 μB per formula unit. The value obtained for the volume is 19.4 Å³ per atom. The formation energy without anion corrections is -0.9226 eV/atom. As for the relative energy among the computed polymorphs: 39 meV/atom.

Cell lengths 6.864, 6.864, 4.128 Å; angles 90.00, 90.00, 90.00 degrees
Sites, in units of the cell vectors:
Ca1 0.500 0.500 0.000
Ca2 0.000 0.000 0.000
Br1 0.318 0.182 0.500
Br2 0.182 0.682 0.500
Br3 0.682 0.818 0.500
Br4 0.818 0.318 0.500
O1 0.262 0.238 0.000
O2 0.238 0.738 0.000
O3 0.762 0.262 0.000
O4 0.738 0.762 0.000

First-principles (GGA-PBE) data for a relaxed structure of ScGa4Ru5, as listed in Alexandria via LeMat-Bulk.

The total moment comes out at 0.000 μB per formula unit. The value obtained for the volume is 14.5 Å³ per atom.

Cell lengths 3.087, 3.087, 15.187 Å; angles 90.00, 90.00, 90.00 degrees
Sites, in units of the cell vectors:
Sc1 0.000 0.000 0.000
Ru1 0.500 0.500 0.889
Ru2 0.500 0.500 0.304
Ru3 0.500 0.500 0.111
Ru4 0.500 0.500 0.696
Ru5 0.500 0.500 0.500
Ga1 0.000 0.000 0.205
Ga2 0.000 0.000 0.402
Ga3 0.000 0.000 0.598
Ga4 0.000 0.000 0.795

E
In order: -7.5406, -5.6077, -1.8408, -4.3371, -3.7219, -3.9754, -6.8262
Unit: eV/atom